Ac3HgRu | GGA-PBE | relaxed

Results
calculated formation energy = -1.60 eV per formula unit
calculated total energy = -4.70 eV per atom
distance to the lowest polymorph of the same formula = 0 meV/atom

Cell and atoms, written as POSCAR:
```
Ac3HgRu
1.0
10.3196 0.0000 0.0000
0.0000 4.2824 0.0000
0.0000 0.0000 15.8000
Ac Hg Ru
12 4 4
Direct
0.0142 0.2500 0.1079 Ac
0.1667 0.2500 0.5093 Ac
0.2201 0.7500 0.2846 Ac
0.2799 0.2500 0.7846 Ac
0.3333 0.7500 0.0093 Ac
0.4858 0.7500 0.6079 Ac
0.5142 0.2500 0.3921 Ac
0.6667 0.2500 0.9907 Ac
0.7201 0.7500 0.2154 Ac
0.7799 0.2500 0.7154 Ac
0.8333 0.7500 0.4907 Ac
0.9858 0.7500 0.8921 Ac
0.0526 0.7500 0.6738 Hg
0.4474 0.2500 0.1738 Hg
0.5526 0.7500 0.8262 Hg
0.9474 0.2500 0.3262 Hg
0.1712 0.2500 0.9429 Ru
0.3288 0.7500 0.4429 Ru
0.6712 0.2500 0.5571 Ru
0.8288 0.7500 0.0571 Ru
```